# PBE Dy4Y3Ho, optimized geometry
# DOS at the Fermi energy = 27.74 states/eV per cell
# Size of the total moment = 0.0 μB/f.u.
# ΔE_f = 0.03 eV per formula unit
# E_tot = -5.293 eV per atom
# Volume = 32.2 A^3/atom
data_Dy4Y3Ho
_chemical_formula_sum 'Dy8 Y6 Ho2'
_cell_length_a 11.248
_cell_length_b 7.274
_cell_length_c 6.288
_cell_angle_alpha 90.00
_cell_angle_beta 90.00
_cell_angle_gamma 90.00
_symmetry_space_group_name_H-M 'P m n 21'
_symmetry_Int_Tables_number 31
loop_
_symmetry_equiv_pos_as_xyz
'x,y,z'
'-x+1/2,-y,z+1/2'
'-x,y,z'
'x+1/2,-y,z+1/2'
loop_
_atom_site_label
_atom_site_type_symbol
_atom_site_fract_x
_atom_site_fract_y
_atom_site_fract_z
_atom_site_occupancy
Dy1 Dy 0.000 0.124 0.000 1
Dy2 Dy 0.000 0.876 0.499 1
Dy3 Dy 0.249 0.876 0.831 1
Y1 Y 0.000 0.375 0.496 1
Y2 Y 0.250 0.374 0.832 1
Ho1 Ho 0.000 0.626 0.997 1